Below is crystalline Ca3As2PPd9 at its relaxed geometry, with properties calculated at the PBE level.

Geometry as POSCAR:
```
Ca3As2PPd9
1.0
-2.2086 -2.2179 5.8708
0.0112 -4.0348 -5.2899
7.4080 -2.4298 1.8690
As Pd P Ca
2 9 1 3
Cartesian
4.5254 -4.7896 3.6629
0.6851 -3.8929 -1.2130
1.9183 -2.1973 -0.1084
-1.0987 -3.1264 0.2904
0.0056 -2.0174 -2.6449
0.6602 -5.7771 0.2241
1.9247 -4.5073 -3.1370
4.5503 -2.9054 2.2258
-1.1043 -1.1090 2.9354
3.2923 -6.4853 2.5583
3.2858 -4.1752 5.5869
3.7040 -1.2149 0.9345
4.2260 -5.0543 -0.3196
0.0000 0.0000 0.0000
0.9845 -3.6282 2.7695
```

VASP energy   -5.101 eV per atom
V   20.5 Å³/atom
DFT formation energy   -0.605 eV/atom